Record 1
Material: KPtS2O8
Method: DFT, PBE
State: relaxed

Values from the calculation:
Symmetry: No. 12
Electronic total energy (Ha/atom): -0.2129

Cell: 5.0459 5.0459 8.1085 Å, 90.45 90.45 61.61°
Closest atoms and distances in Å follow each position.
Fractional coordinates of all 12 atoms:
K: 0.0000 0.0000 0.0000  6 O 2.86-2.91
Pt: 0.0000 0.0000 0.5000  4 O 2.06
S: 0.3730 0.3730 0.6986  4 O 1.46-1.54
S: 0.6270 0.6270 0.3014  4 O 1.46-1.54
O: 0.2419 0.7178 0.6894  1 S 1.54
O: 0.2665 0.2665 0.5581  1 S 1.46
O: 0.2822 0.7581 0.3106  1 S 1.54
O: 0.3090 0.3090 0.8640  1 S 1.46
O: 0.6910 0.6910 0.1360  1 S 1.46
O: 0.7178 0.2419 0.6894  1 S 1.54
O: 0.7335 0.7335 0.4419  1 S 1.46
O: 0.7581 0.2822 0.3106  1 S 1.54

=====

Record 2
Material: SnHg5Pb4
Method: DFT, PBE
State: relaxed

Values from the calculation:
Symmetry: No. 123
Energy relative to the elements (eV per atom): 0.0676

Cell: 3.2231 3.2231 26.9512 Å, 90.00 90.00 90.00°
Closest atoms and distances in Å follow each position.
Fractional coordinates of all 10 atoms:
Sn: 0.0000 0.0000 0.0000  4 Sn 3.22, 8 Hg 3.46
Hg: 0.5000 0.5000 0.0968  4 Hg 3.22, 4 Sn 3.46, 4 Pb 3.55
Hg: 0.5000 0.5000 0.2984  4 Hg 3.22, 8 Pb 3.53-3.54
Hg: 0.5000 0.5000 0.5000  4 Hg 3.22, 8 Pb 3.56
Hg: 0.5000 0.5000 0.7016  4 Hg 3.22, 8 Pb 3.53-3.54
Hg: 0.5000 0.5000 0.9032  4 Hg 3.22, 4 Sn 3.46, 4 Pb 3.55
Pb: 0.0000 0.0000 0.1979  4 Pb 3.22, 8 Hg 3.54-3.55
Pb: 0.0000 0.0000 0.3985  4 Pb 3.22, 8 Hg 3.53-3.56
Pb: 0.0000 0.0000 0.6015  4 Pb 3.22, 8 Hg 3.53-3.56
Pb: 0.0000 0.0000 0.8021  4 Pb 3.22, 8 Hg 3.54-3.55

=====

Record 3
Material: ZnTeAu2
Method: DFT, PBE
State: relaxed

Values from the calculation:
Symmetry: No. 44
Excess energy over the best structure of this formula in the dataset (meV/atom): 195

Cell: 5.3158 5.3158 5.3158 Å, 135.22 128.47 70.61°
Closest atoms and distances in Å follow each position.
Fractional coordinates of all 4 atoms:
Zn: 0.0000 0.0000 0.0000  2 Au 2.70, 2 Te 2.88
Te: 0.7643 0.2643 0.5000  2 Zn 2.88, 8 Au 2.97-3.20
Au: 0.2058 0.7058 0.5000  2 Zn 2.70
Au: 0.4794 0.4794 0.0000  4 Te 2.97-3.20, 4 Au 3.03-3.12, 4 Zn 3.08

=====

Record 4
Material: AlReSe4
Method: DFT, PBE
State: relaxed

Values from the calculation:
Symmetry: No. 216
Electronic total energy (Ha/atom): -0.1374

Cell: 5.6889 5.6889 5.6889 Å, 60.00 60.00 60.00°
Closest atoms and distances in Å follow each position.
Fractional coordinates of all 6 atoms:
Al: 0.0000 0.0000 0.0000  12 Se 3.34, 4 Re 3.48
Re: 0.7500 0.7500 0.7500  12 Se 3.33, 4 Al 3.48
Se: 0.3763 0.3763 0.3763  6 Se 2.81-2.87
Se: 0.3763 0.3763 0.8710  6 Se 2.81-2.87
Se: 0.3763 0.8710 0.3763  6 Se 2.81-2.87
Se: 0.8710 0.3763 0.3763  6 Se 2.81-2.87

=====

Record 5
Material: Li2FeAu
Method: DFT, PBE
State: relaxed

Values from the calculation:
Symmetry: No. 10
Energy relative to the elements (eV per atom): -0.0195

Cell: 2.6996 4.5064 4.8324 Å, 90.00 94.68 90.00°
Closest atoms and distances in Å follow each position.
Fractional coordinates of all 4 atoms:
Li: 0.2467 0.0000 0.2473  6 Li 2.64-2.88, 2 Fe 2.67, 2 Au 2.67
Li: 0.7533 0.0000 0.7527  6 Li 2.64-2.88, 2 Fe 2.67, 2 Au 2.67
Fe: 0.5000 0.5000 0.0000  4 Li 2.67, 4 Au 2.67-2.86, 2 Fe 2.70
Au: 0.0000 0.5000 0.5000  4 Fe 2.67-2.86, 4 Li 2.67, 2 Au 2.70

=====

Record 6
Material: TbNdO2
Method: DFT, PBE
State: relaxed

Values from the calculation:
Symmetry: No. 166
Excess energy over the best structure of this formula in the dataset (meV/atom): 0

Cell: 6.2518 6.2518 6.2518 Å, 32.21 32.21 32.21°
Closest atoms and distances in Å follow each position.
Fractional coordinates of all 4 atoms:
Tb: 0.0000 0.0000 0.0000  6 O 2.34
Nd: 0.5000 0.5000 0.5000  6 O 2.65
O: 0.2647 0.2647 0.2647  3 Tb 2.34
O: 0.7353 0.7353 0.7353  3 Tb 2.34